1.
A plane-wave DFT calculation with GGA-PBE was carried out for a relaxed structure of Cr2AgMo.

Summary:
Total moment (μB/atom): 0.4176
Theoretical density (Mg/m³): 8.57
Distance to the lowest polymorph of the same formula (meV/atom): 297
Formation energy (eV per atom): 0.65

Cell: 6.2024 6.2024 6.2024 Å, 90.00 90.00 90.00°
With the nearest neighbours (Å) after each atom.
Space group F-43m (No. 216)
Symmetry-distinct sites (fractional):
Cr1 0.0000 0.0000 0.0000  4 Mo 2.69, 4 Cr 2.69
Cr2 0.2500 0.2500 0.2500  4 Cr 2.69, 4 Ag 2.69
Ag1 0.0000 0.0000 0.5000  4 Cr 2.69, 4 Mo 2.69
Mo1 0.2500 0.2500 0.7500  4 Ag 2.69, 4 Cr 2.69

---

2.
A plane-wave DFT calculation with GGA-PBE was carried out for a relaxed structure of Rb2OsSeI6.

Summary:
Total moment (μB/atom): 0.2186
Theoretical density (Mg/m³): 4.93
Formation energy from raw total energies (meV per atom): -348

Cell: 8.4372 8.4372 11.3593 Å, 90.00 90.00 90.00°
With the nearest neighbours (Å) after each atom.
Space group I4/mmm (No. 139)
Symmetry-distinct sites (fractional):
Rb1 0.0000 0.5000 0.2500  12 I 4.13-4.22
Os1 0.0000 0.0000 0.0000  6 I 2.74-2.77
Se1 0.0000 0.0000 0.5000  6 I 2.91-3.23
I1 0.0000 0.0000 0.2435  1 Os 2.77, 1 Se 2.91
I2 0.2293 0.2293 0.0000  1 Os 2.74

---

3.
A plane-wave DFT calculation with GGA-PBE was carried out for a relaxed structure of BaHgOs.

Summary:
Total moment (μB/atom): 0.0000
Theoretical density (Mg/m³): 11.03
Distance to the lowest polymorph of the same formula (meV/atom): 73
Formation energy (eV per atom): 0.70

Cell: 3.7451 3.7451 11.3412 Å, 90.00 90.00 90.00°
With the nearest neighbours (Å) after each atom.
Space group I4mm (No. 107)
Symmetry-distinct sites (fractional):
Ba1 0.0000 0.0000 0.0000  1 Hg 3.18, 1 Os 3.26
Hg1 0.0000 0.0000 0.7194  4 Os 2.76
Os1 0.0000 0.0000 0.2871  4 Hg 2.76

---

4.
A plane-wave DFT calculation with GGA-PBE was carried out for a relaxed structure of Ho2Si4Pt3Au.

Summary:
Total moment (μB/atom): 0.0000
Theoretical density (Mg/m³): 11.54
Formation energy from raw total energies (meV per atom): -964

Cell: 4.2173 4.2173 9.9059 Å, 90.00 90.00 90.00°
With the nearest neighbours (Å) after each atom.
Space group P-4m2 (No. 115)
Symmetry-distinct sites (fractional):
Ho1 0.0000 0.5000 0.2458  8 Si 3.19-3.22, 6 Pt 3.23-3.28, 2 Au 3.28
Si1 0.0000 0.0000 0.0000  4 Pt 2.42
Si2 0.0000 0.5000 0.6401  3 Pt 2.37-2.52, 2 Au 2.52
Si3 0.5000 0.5000 0.0000  4 Pt 2.42
Pt1 0.0000 0.5000 0.8792  5 Si 2.37-2.42
Pt2 0.5000 0.5000 0.5000  4 Si 2.52
Au1 0.0000 0.0000 0.5000  4 Si 2.52

---

5.
A plane-wave DFT calculation with GGA-PBE was carried out for a relaxed structure of MgScAu.

Summary:
Total moment (μB/atom): 0.0000
Theoretical density (Mg/m³): 7.38
Formation energy (eV per atom): -0.62

Cell: 4.8492 4.8492 5.8777 Å, 90.00 90.00 120.00°
With the nearest neighbours (Å) after each atom.
Space group P6_3/mmc (No. 194)
Symmetry-distinct sites (fractional):
Mg1 0.0000 0.0000 0.0000  2 Mg 2.94, 6 Au 3.16, 6 Sc 3.16
Sc1 0.3333 0.6667 0.2500  5 Au 2.80-2.94
Au1 0.3333 0.6667 0.7500  5 Sc 2.80-2.94

---

6.
A plane-wave DFT calculation with GGA-PBE was carried out for a relaxed structure of PrThHgRh.

Summary:
Total moment (μB/atom): 0.0000
Theoretical density (Mg/m³): 11.03
Distance to the lowest polymorph of the same formula (meV/atom): 140
Formation energy (eV per atom): -0.41

Cell: 7.4121 7.4121 7.4121 Å, 90.00 90.00 90.00°
With the nearest neighbours (Å) after each atom.
Space group F-43m (No. 216)
Symmetry-distinct sites (fractional):
Pr1 0.0000 0.0000 0.0000  4 Rh 3.21, 4 Hg 3.21
Th1 0.0000 0.0000 0.5000  4 Hg 3.21, 4 Rh 3.21
Hg1 0.2500 0.2500 0.7500  4 Th 3.21, 4 Pr 3.21
Rh1 0.2500 0.2500 0.2500  4 Th 3.21, 4 Pr 3.21

---

7.
A plane-wave DFT calculation with GGA-PBE was carried out for a relaxed structure of MnAg3.

Summary:
Total moment (μB/atom): 1.0510
Theoretical density (Mg/m³): 9.04
Formation energy (eV per atom): 0.19

Cell: 3.3430 3.3430 6.2191 Å, 90.00 90.00 90.00°
With the nearest neighbours (Å) after each atom.
Space group P4/mmm (No. 123)
Symmetry-distinct sites (fractional):
Mn1 0.0000 0.0000 0.0000  10 Ag 2.79-3.11
Ag1 0.0000 0.0000 0.5000  8 Ag 2.87, 2 Mn 3.11
Ag2 0.5000 0.5000 0.2397  4 Mn 2.79, 5 Ag 2.87-2.98

---

8.
A plane-wave DFT calculation with GGA-PBE was carried out for a relaxed structure of Pu2Pd4Au5.

Summary:
Total moment (μB/atom): 0.9710
Theoretical density (Mg/m³): 14.48
Distance to the lowest polymorph of the same formula (meV/atom): 0
Formation energy (eV per atom): -0.31

Cell: 5.4831 8.4209 9.4311 Å, 90.00 90.00 90.00°
With the nearest neighbours (Å) after each atom.
Space group Immm (No. 71)
Symmetry-distinct sites (fractional):
Pu1 0.0000 0.0000 0.2167  6 Pd 2.80-3.11
Pd1 0.0000 0.3297 0.2546  5 Au 2.72-2.92, 1 Pu 2.80, 1 Pd 2.87
Au1 0.0000 0.5000 0.5000  4 Pd 2.72, 4 Au 2.92
Au2 0.2496 0.1931 0.5000  3 Au 2.74-2.92, 4 Pd 2.77-2.92

---

9.
A plane-wave DFT calculation with GGA-PBE was carried out for a relaxed structure of KCaCl2.

Summary:
Total moment (μB/atom): 0.1445
Theoretical density (Mg/m³): 2.04
Distance to the lowest polymorph of the same formula (meV/atom): 820
Formation energy from raw total energies (meV per atom): -913

Cell: 7.8820 7.8820 7.8820 Å, 90.00 90.00 90.00°
With the nearest neighbours (Å) after each atom.
Space group F-43m (No. 216)
Symmetry-distinct sites (fractional):
K1 0.0000 0.0000 0.0000  4 Cl 3.41, 4 Ca 3.41
Ca1 0.2500 0.2500 0.7500  4 Cl 3.41, 4 K 3.41
Cl1 0.0000 0.0000 0.5000  4 Cl 3.41, 4 Ca 3.41
Cl2 0.2500 0.2500 0.2500  4 Cl 3.41, 4 K 3.41

---

10.
A plane-wave DFT calculation with GGA-PBE was carried out for a relaxed structure of Cu2Bi2Br.

Summary:
Total moment (μB/atom): 0.0000
Theoretical density (Mg/m³): 8.25
Distance to the lowest polymorph of the same formula (meV/atom): 70
Formation energy from raw total energies (meV per atom): 286

Cell: 4.9908 4.9908 10.0964 Å, 90.00 90.00 90.00°
With the nearest neighbours (Å) after each atom.
Space group I4/mmm (No. 139)
Symmetry-distinct sites (fractional):
Cu1 0.0000 0.0000 0.1270  1 Cu 2.57, 4 Bi 2.79
Bi1 0.0000 0.5000 0.2500  4 Cu 2.79
Br1 0.0000 0.0000 0.5000  8 Bi 3.55, 10 Cu 3.75-3.77

---

11.
A plane-wave DFT calculation with GGA-PBE was carried out for a relaxed structure of BeSnN2.

Summary:
Total moment (μB/atom): 0.0000
Theoretical density (Mg/m³): 6.35
Distance to the lowest polymorph of the same formula (meV/atom): 1525
Formation energy from raw total energies (meV per atom): 1213

Cell: 5.4608 5.4608 5.4608 Å, 90.00 90.00 90.00°
With the nearest neighbours (Å) after each atom.
Space group Fm-3m (No. 225)
Symmetry-distinct sites (fractional):
Be1 0.0000 0.0000 0.0000  8 N 2.36
Sn1 0.0000 0.0000 0.5000  8 N 2.36
N1 0.2500 0.2500 0.2500  4 Sn 2.36, 4 Be 2.36

---

12.
A plane-wave DFT calculation with GGA-PBE was carried out for a relaxed structure of SmTm2In3Se6.

Summary:
Total moment (μB/atom): 0.0000
Theoretical density (Mg/m³): 6.27
Formation energy from raw total energies (meV per atom): -1289

Cell: 7.1798 12.4327 8.1076 Å, 90.00 107.15 90.00°
With the nearest neighbours (Å) after each atom.
Space group C2/m (No. 12)
Symmetry-distinct sites (fractional):
Sm1 0.0000 0.0000 0.0000  6 Se 2.93-2.94
Tm1 0.0000 0.3332 0.0000  6 Se 2.85-2.86
In1 0.0000 0.1647 0.5000  6 Se 3.26-3.31
In2 0.0000 0.5000 0.5000  6 Se 3.26-3.31
Se1 0.2267 0.5000 0.2060  2 Tm 2.85, 1 Sm 2.93
Se2 0.2405 0.1711 0.2084  2 Tm 2.86, 1 Sm 2.94